A relaxed structure of LaMnN3, computed with PBE-GGA.

The value obtained for the uncorrected formation energy is -469 meV/atom. Its theoretical density is 6.67 g cm⁻³. The density of states at the Fermi level comes out at 0.39 states/eV/atom. As for the spin magnetization: 0.000 μB per atom.

The structure belongs to space group Amm2 (No. 38); the cell edges are 3.984, 4.382 and 6.727 Å and the angles 90.00°, 90.00° and 90.00°. The inequivalent atoms are La at (0.000, 0.000, 0.000), Mn at (0.500, 0.000, 0.648), N at (0.000, 0.000, 0.648) and N at (0.500, 0.150, 0.361).

***

A relaxed structure of PmPr3Nd2Dy6, computed with PBE-GGA.

The value obtained for the formation energy is 0.0115 eV per atom. Its theoretical density is 7.60 g cm⁻³. The density of states at the Fermi level comes out at 1.11 states/eV/atom. As for the spin magnetization: 0.000 μB per atom.

The structure belongs to space group C2/m (No. 12); the cell edges are 6.285, 10.886 and 11.877 Å and the angles 90.00°, 100.13° and 90.00°. The inequivalent atoms are Pm at (0.000, 0.000, 0.000), Pr at (0.000, 0.167, 0.500), Pr at (0.000, 0.500, 0.500), Nd at (0.000, 0.333, 0.000), Dy at (0.249, 0.167, 0.249) and Dy at (0.250, 0.000, 0.751).

***

A relaxed structure of ScNiW2, computed with PBE-GGA.

The value obtained for the formation energy is 0.2038 eV per atom. Its theoretical density is 12.20 g cm⁻³. Its energy relative to the lowest polymorph listed for this composition is 0.140 eV per atom. The density of states at the Fermi level comes out at 1.05 states/eV/atom. As for the spin magnetization: 0.000 μB per atom.

The structure belongs to space group P2/m (No. 10); the cell edges are 2.752, 4.730 and 4.994 Å and the angles 90.00°, 99.23° and 90.00°. The inequivalent atoms are Sc at (0.000, 0.000, 0.000), Ni at (0.500, 0.000, 0.500) and W at (0.283, 0.500, 0.750).

***

A relaxed structure of Li4CuP2O8, computed with PBE-GGA.

The value obtained for the uncorrected formation energy is -2082 meV/atom. Its theoretical density is 2.98 g cm⁻³. Its energy relative to the lowest polymorph listed for this composition is 0.027 eV per atom. As for the spin magnetization: 0.067 μB per atom.

The structure belongs to space group P-1 (No. 2); the cell edges are 4.690, 5.802 and 5.906 Å and the angles 95.71°, 96.53° and 98.97°. The inequivalent atoms are Li at (0.182, 0.270, 0.090), Li at (0.214, 0.512, 0.669), Cu at (0.000, 0.000, 0.500), P at (0.366, 0.776, 0.212), O at (0.236, 0.584, 0.355), O at (0.257, 0.699, 0.957), O at (0.277, 0.019, 0.286) and O at (0.292, 0.200, 0.755).

***

A relaxed structure of KCaAg2, computed with PBE-GGA.

The value obtained for the formation energy is 0.1440 eV per atom. Its theoretical density is 3.80 g cm⁻³. Its energy relative to the lowest polymorph listed for this composition is 0.280 eV per atom. The density of states at the Fermi level comes out at 0.53 states/eV/atom. As for the spin magnetization: 0.000 μB per atom.

The structure belongs to space group I-42d (No. 122); the cell edges are 8.509, 8.509 and 7.111 Å and the angles 90.00°, 90.00° and 90.00°. The inequivalent atoms are K at (0.000, 0.000, 0.000), Ca at (0.000, 0.000, 0.500) and Ag at (0.228, 0.250, 0.625).

***

A relaxed structure of SrGe3W, computed with PBE-GGA.

The value obtained for the formation energy is -0.0379 eV per atom. Its theoretical density is 6.67 g cm⁻³. Its energy relative to the lowest polymorph listed for this composition is 0.000 eV per atom. The density of states at the Fermi level comes out at 0.54 states/eV/atom. As for the spin magnetization: 0.000 μB per atom.

The structure belongs to space group Pm-3m (No. 221); the cell edges are 4.957, 4.957 and 4.957 Å and the angles 90.00°, 90.00° and 90.00°. The inequivalent atoms are Sr at (0.000, 0.000, 0.000), Ge at (0.000, 0.500, 0.500) and W at (0.500, 0.500, 0.500).

***

A relaxed structure of AsPtCSe2, computed with PBE-GGA.

The value obtained for the uncorrected formation energy is 1156 meV/atom. Its theoretical density is 9.01 g cm⁻³. Its energy relative to the lowest polymorph listed for this composition is 0.000 eV per atom. The density of states at the Fermi level comes out at 0.82 states/eV/atom. As for the spin magnetization: 0.000 μB per atom.

The structure belongs to space group P4/mmm (No. 123); the cell edges are 4.372, 4.372 and 4.244 Å and the angles 90.00°, 90.00° and 90.00°. The inequivalent atoms are As at (0.000, 0.000, 0.000), Pt at (0.500, 0.500, 0.000), C at (0.000, 0.000, 0.500) and Se at (0.000, 0.500, 0.500).

***

A relaxed structure of NaInSn2I8, computed with PBE-GGA.

The value obtained for the uncorrected formation energy is -576 meV/atom. Its theoretical density is 4.56 g cm⁻³. As for the spin magnetization: 0.000 μB per atom.

The structure belongs to space group P2/m (No. 10); the cell edges are 7.201, 9.164 and 7.680 Å and the angles 90.00°, 91.63° and 90.00°. The inequivalent atoms are Na at (0.000, 0.000, 0.000), In at (0.000, 0.500, 0.000), Sn at (0.500, 0.252, 0.500), I at (0.233, 0.500, 0.679), I at (0.238, 0.265, 0.152) and I at (0.273, 0.000, 0.657).